# 1
Density functional theory data (PBE-GGA) for an optimized crystal structure of KTl2Mo.

The calculation puts the density of states at the Fermi level at 3.16 states/eV/f.u. Its energy above the most stable polymorph in this dataset is 293 meV per atom. The space group is Cmm2 (35). The formation energy is 0.805 eV/atom. The energy is -0.123 hartree per atom.

Structure (extended XYZ):
```
4
Lattice="-0.5140 -2.7456 1.4150 2.6552 1.0834 1.2575 -5.7434 5.0727 7.7564" Properties=species:S:1:pos:R:3 pbc="T T T"
K -2.9624 2.6165 4.0007
Tl -0.2383 0.3249 3.1039
Tl -5.6193 4.9631 7.5887
Mo -3.3974 3.1151 7.3702
```

---

# 2
Density functional theory data (PBE-GGA) for an optimized crystal structure of KTl2Mo.

The calculation puts the density of states at the Fermi level at 1.92 states/eV/f.u. Its energy above the most stable polymorph in this dataset is 313 meV per atom. The space group is R3m (160). The formation energy is 0.825 eV/atom. The energy is -0.123 hartree per atom.

Structure (extended XYZ):
```
4
Lattice="11.2918 -0.0103 -0.0060 10.8231 3.2195 -0.0060 10.8231 1.5706 2.8104" Properties=species:S:1:pos:R:3 pbc="T T T"
Tl 8.4604 1.2277 0.7188
Tl 0.2096 0.0304 0.0178
K 16.3196 2.3682 1.3865
Mo 24.4175 3.5433 2.0744
```

---

# 3
Density functional theory data (PBE-GGA) for an optimized crystal structure of KTlMo.

The calculation puts the density of states at the Fermi level at 3.23 states/eV/f.u. Its energy above the most stable polymorph in this dataset is 825 meV per atom. The space group is F-43m (216). The formation energy is 1.761 eV/atom. The energy is -0.110 hartree per atom.

Structure (extended XYZ):
```
3
Lattice="5.4555 0.0000 0.0000 2.7278 4.7246 0.0000 2.7278 1.5749 4.4544" Properties=species:S:1:pos:R:3 pbc="T T T"
K 8.1833 4.7246 3.3408
Mo 0.0000 0.0000 0.0000
Tl 5.4555 3.1498 2.2272
```

---

# 4
Density functional theory data (PBE-GGA) for an optimized crystal structure of KTlMo.

The calculation puts the density of states at the Fermi level at 1.17 states/eV/f.u. Its energy above the most stable polymorph in this dataset is 50 meV per atom. The space group is I4mm (107). The formation energy is 0.986 eV/atom. The energy is -0.139 hartree per atom.

Structure (extended XYZ):
```
3
Lattice="6.8955 -0.0071 0.0000 4.6975 5.0479 0.0000 -5.7965 -2.5204 2.7561" Properties=species:S:1:pos:R:3 pbc="T T T"
Mo 3.1116 1.3530 0.0000
K 0.0080 0.0035 0.0000
Tl 8.4734 3.6844 0.0000
```

---

# 5
Density functional theory data (PBE-GGA) for an optimized crystal structure of KTl2Mo.

The calculation puts the density of states at the Fermi level at 1.62 states/eV/f.u. Its energy above the most stable polymorph in this dataset is 194 meV per atom. The space group is P4mm (99). The formation energy is 0.706 eV/atom. The energy is -0.127 hartree per atom.

Structure (extended XYZ):
```
4
Lattice="-0.7762 1.9950 3.2777 -2.4653 -2.8219 1.1337 6.3984 -4.0024 3.9513" Properties=species:S:1:pos:R:3 pbc="T T T"
Mo 3.9847 -3.9199 5.6674
K 3.2859 -2.0555 2.0292
Tl 5.8315 -3.6478 3.6012
Tl -0.3477 -1.2098 2.9919
```

---

# 6
Density functional theory data (PBE-GGA) for an optimized crystal structure of KZrTlMo2.

The calculation puts the density of states at the Fermi level at 4.13 states/eV/f.u. The space group is P4/mmm (123). The formation energy is 2.461 eV/atom. The energy is -0.157 hartree per atom.

Structure (extended XYZ):
```
5
Lattice="-1.2582 -1.2626 -4.2294 -4.1652 -2.6840 2.0403 -2.5991 3.7664 -0.3512" Properties=species:S:1:pos:R:3 pbc="T T T"
K 0.0000 0.0000 0.0000
Zr -4.0112 -0.0901 -1.2701
Mo -1.2995 1.8832 -0.1756
Mo -0.6291 -0.6313 -2.1147
Tl -2.0826 -1.3420 1.0202
```